[1]
# La8DyTl2 (GGA-PBE, optimized geometry)
data_La8DyTl2
_chemical_formula_sum 'La16 Dy2 Tl4'
_cell_length_a 5.2854
_cell_length_b 9.0719
_cell_length_c 16.0347
_cell_angle_alpha 90.00
_cell_angle_beta 90.00
_cell_angle_gamma 90.00
_symmetry_space_group_name_H-M 'I m m m'
_symmetry_Int_Tables_number 71
_symmetry_space_group_name_Hall '-I 2 2'
loop_
_atom_site_label
_atom_site_fract_x
_atom_site_fract_y
_atom_site_fract_z
_atom_site_occupancy
La1 0.0000 0.0000 0.1462 1
La2 0.0000 0.2218 0.3395 1
La3 0.0000 0.3248 0.0000 1
Dy1 0.0000 0.5000 0.5000 1
Tl1 0.0000 0.5000 0.1937 1
# energy relative to the lowest polymorph listed for this composition	0.0	meV/atom


[2]
The following is a GGA-PBE calculation of a relaxed K4Rb6Au crystal, from Alexandria via LeMat-Bulk.

Structure (CIF):
```
data_K4Rb6Au
_chemical_formula_sum 'K8 Rb12 Au2'
_cell_length_a 14.2609
_cell_length_b 14.2609
_cell_length_c 9.4193
_cell_angle_alpha 90.00
_cell_angle_beta 90.00
_cell_angle_gamma 120.00
_symmetry_space_group_name_H-M 'P 63 m c'
_symmetry_Int_Tables_number 186
_symmetry_space_group_name_Hall 'P 6c -2c'
loop_
_atom_site_label
_atom_site_fract_x
_atom_site_fract_y
_atom_site_fract_z
_atom_site_occupancy
K1 0.2245 0.4490 0.0000 1
K2 0.3333 0.6667 0.5984 1
Rb1 0.0553 0.5277 0.3156 1
Rb2 0.1217 0.2434 0.5454 1
Au1 0.3333 0.6667 0.2261 1
```


| no. | energy relative to the elements (eV per atom) | volume (Å³ per cell) | raw total energy (eV per atom) |
| --- | --- | --- | --- |
| 1 | -0.098 | 768.8 | -4.53 |
| 2 | -0.042 | 1659.0 | -1.27 |